Entry 1:
The following is a DFT calculation (PBE) of a relaxed Hf2Zr3Sc3 crystal.

Properties
- E above lowest polymorph (meV/atom) = 0.0
- crystal system = orthorhombic
- size of the total moment (μB/cell) = 0.00

abc: 4.4995 4.5232 18.1726
angles: 90.00 90.00 90.00
Space group Immm (No. 71)
Symmetry-distinct sites (fractional):
1 Hf 0.0000 0.0000 0.2494
2 Zr 0.0000 0.0000 0.5000
3 Zr 0.0000 0.5000 0.1286
4 Sc 0.0000 0.0000 0.0000
5 Sc 0.0000 0.5000 0.3738

Entry 2:
The following is a DFT calculation (PBE) of a relaxed Pm6Co2HgCl3 crystal.

Properties
- crystal system = monoclinic
- size of the total moment (μB/cell) = 0.00
- energy relative to the elements, uncorrected (kJ/mol of formula units) = -984.1

abc: 20.4028 3.9131 8.7563
angles: 90.00 106.40 90.00
Space group C2/m (No. 12)
Symmetry-distinct sites (fractional):
1 Pm 0.0418 0.0000 0.2857
2 Pm 0.1628 0.5000 0.1278
3 Pm 0.1884 0.5000 0.5838
4 Co 0.1737 0.0000 0.3521
5 Hg 0.0000 0.5000 0.0000
6 Cl 0.0000 0.5000 0.5000
7 Cl 0.1813 0.0000 0.8552

Entry 3:
The following is a DFT calculation (PBE) of a relaxed BOsPb3 crystal.

Properties
- E above lowest polymorph (meV/atom) = 0.0
- crystal system = cubic
- size of the total moment (μB/cell) = 0.00

abc: 5.2699 5.2699 5.2699
angles: 90.00 90.00 90.00
Space group Pm-3m (No. 221)
Symmetry-distinct sites (fractional):
1 B 0.0000 0.0000 0.0000
2 Os 0.5000 0.5000 0.5000
3 Pb 0.0000 0.5000 0.5000

Entry 4:
The following is a DFT calculation (PBE) of a relaxed Cs3AgPb2I9 crystal.

Properties
- crystal system = trigonal
- size of the total moment (μB/cell) = 0.00
- energy relative to the elements, uncorrected (kJ/mol of formula units) = -1284.4

abc: 8.7515 8.7515 10.7250
angles: 90.00 90.00 120.00
Space group P-3m1 (No. 164)
Symmetry-distinct sites (fractional):
1 Cs 0.0000 0.0000 0.0000
2 Cs 0.3333 0.6667 0.6650
3 Ag 0.0000 0.0000 0.5000
4 Pb 0.3333 0.6667 0.1822
5 I 0.0000 0.5000 0.0000
6 I 0.1605 0.3210 0.3402

Entry 5:
The following is a DFT calculation (PBE) of a relaxed U2Ni3P4 crystal.

Properties
- crystal system = orthorhombic
- size of the total moment (μB/cell) = 17.56
- E (eV per atom) = -7.39

abc: 5.2380 9.4101 10.9493
angles: 90.00 90.00 90.00
Space group Fmmm (No. 69)
Symmetry-distinct sites (fractional):
1 U 0.0000 0.0000 0.1420
2 Ni 0.0000 0.0000 0.5000
3 Ni 0.2500 0.2500 0.0000
4 P 0.0000 0.1641 0.3458

Entry 6:
The following is a DFT calculation (PBE) of a relaxed Ac4CuTe3 crystal.

Properties
- crystal system = orthorhombic
- size of the total moment (μB/cell) = 0.00
- energy relative to the elements, uncorrected (kJ/mol of formula units) = -868.5

abc: 9.6597 13.3461 4.5377
angles: 90.00 90.00 90.00
Space group Cmmm (No. 65)
Symmetry-distinct sites (fractional):
1 Ac 0.0000 0.2431 0.0000
2 Ac 0.2244 0.0000 0.5000
3 Cu 0.0000 0.0000 0.0000
4 Te 0.0000 0.5000 0.0000
5 Te 0.2500 0.2500 0.5000

Entry 7:
The following is a DFT calculation (PBE) of a relaxed BaCoRu2 crystal.

Properties
- E above lowest polymorph (meV/atom) = 752.0
- crystal system = cubic
- size of the total moment (μB/cell) = 17.11

abc: 6.6759 6.6759 6.6759
angles: 90.00 90.00 90.00
Space group F-43m (No. 216)
Symmetry-distinct sites (fractional):
1 Ba 0.0000 0.0000 0.0000
2 Co 0.2500 0.2500 0.2500
3 Ru 0.0000 0.0000 0.5000
4 Ru 0.2500 0.2500 0.7500

Entry 8:
The following is a DFT calculation (PBE) of a relaxed NbZn2TeAs crystal.

Properties
- crystal system = tetragonal
- size of the total moment (μB/cell) = 3.36
- energy relative to the elements, uncorrected (kJ/mol of formula units) = 399.7

abc: 4.7275 4.7275 5.6787
angles: 90.00 90.00 90.00
Space group P4/mmm (No. 123)
Symmetry-distinct sites (fractional):
1 Nb 0.0000 0.0000 0.0000
2 Zn 0.0000 0.5000 0.5000
3 Te 0.5000 0.5000 0.0000
4 As 0.5000 0.5000 0.5000

Q: Number 4 is which compound?
A: Cs3AgPb2I9

What did the eighth record say?
The following is a DFT calculation (PBE) of a relaxed NbZn2TeAs crystal.

Properties
- crystal system = tetragonal
- size of the total moment (μB/cell) = 3.36
- energy relative to the elements, uncorrected (kJ/mol of formula units) = 399.7

abc: 4.7275 4.7275 5.6787
angles: 90.00 90.00 90.00
Space group P4/mmm (No. 123)
Symmetry-distinct sites (fractional):
1 Nb 0.0000 0.0000 0.0000
2 Zn 0.0000 0.5000 0.5000
3 Te 0.5000 0.5000 0.0000
4 As 0.5000 0.5000 0.5000

What did the fifth record say?
The following is a DFT calculation (PBE) of a relaxed U2Ni3P4 crystal.

Properties
- crystal system = orthorhombic
- size of the total moment (μB/cell) = 17.56
- E (eV per atom) = -7.39

abc: 5.2380 9.4101 10.9493
angles: 90.00 90.00 90.00
Space group Fmmm (No. 69)
Symmetry-distinct sites (fractional):
1 U 0.0000 0.0000 0.1420
2 Ni 0.0000 0.0000 0.5000
3 Ni 0.2500 0.2500 0.0000
4 P 0.0000 0.1641 0.3458